Record 1
## LuScRh (PBE)

Data for a relaxed LuScRh crystal.

POSCAR file:
```
LuScRh
1.0
-3.010 1.045 -0.740
-1.229 -1.826 2.419
2.785 5.026 2.998
Lu Rh Sc
1 1 1
Direct
0.029 0.029 0.057
0.672 0.672 0.344
0.300 0.300 0.599
```

Energy relative to the elements, kJ/mol of formula units: -182
Magnetic moment, μB per formula unit: 0.000
E_tot, eV/f.u.: -20.1

Record 2
## NbAg2AuS4 (PBE)

Data for a relaxed NbAg2AuS4 crystal.

POSCAR file:
```
NbAg2AuS4
1.0
-1.465 -1.271 5.387
-1.262 -5.349 -1.606
6.805 1.696 -0.791
Ag S Nb Au
2 4 1 1
Direct
0.250 0.750 0.500
0.750 0.250 0.500
0.150 0.150 0.769
0.619 0.619 0.769
0.382 0.850 0.231
0.850 0.382 0.231
0.500 0.500 0.000
0.000 0.000 0.000
```

Uncorrected formation energy, eV/atom: -0.34
Magnetic moment, μB per formula unit: 0.000
E_tot, eV/f.u.: -38.3

Record 3
## NaCoOs (PBE)

Data for a relaxed NaCoOs crystal.

POSCAR file:
```
NaCoOs
1.0
-11.090 1.985 4.427
-5.590 -2.480 2.474
6.391 1.633 -0.088
Na Os Co
2 2 2
Direct
0.500 0.500 0.500
0.000 0.000 0.000
0.680 0.582 0.418
0.320 0.418 0.582
0.112 0.213 0.787
0.888 0.787 0.213
```

Energy relative to the elements, kJ/mol of formula units: 169
Polymorph energy (0 for the lowest one), eV/atom: 0.152
Magnetic moment, μB per formula unit: 1.388
E_tot, eV/f.u.: -17.9

Record 4
## SmErN (PBE)

Data for a relaxed SmErN crystal.

POSCAR file:
```
SmErN
1.0
-2.217 -1.300 3.420
2.060 -1.361 3.494
-0.028 2.373 3.560
Er Sm N
1 1 1
Direct
0.500 0.500 0.500
0.000 0.000 0.000
0.250 0.250 0.250
```

Polymorph energy (0 for the lowest one), eV/atom: 0.693
Uncorrected formation energy, eV/atom: -0.30
Magnetic moment, μB per formula unit: 0.000
E_tot, eV/f.u.: -18.5

Record 5
## HfPaRu2 (PBE)

Data for a relaxed HfPaRu2 crystal.

POSCAR file:
```
HfPaRu2
1.0
3.213 0.000 0.000
0.000 3.213 0.000
0.000 0.000 7.151
Ru Pa Hf
2 1 1
Direct
0.000 0.000 0.774
0.000 0.000 0.226
0.500 0.500 0.500
0.500 0.500 0.000
```

Energy relative to the elements, kJ/mol of formula units: -207
Polymorph energy (0 for the lowest one), eV/atom: 0.000
Magnetic moment, μB per formula unit: 0.001
E_tot, eV/f.u.: -40.1

Record 6
## TaSb2Cl (PBE)

Data for a relaxed TaSb2Cl crystal.

POSCAR file:
```
TaSb2Cl
1.0
-1.755 2.429 0.677
-2.252 -1.139 -1.750
-4.150 -5.481 8.909
Cl Ta Sb
1 1 2
Direct
0.500 0.500 0.658
0.000 0.000 0.518
0.500 0.500 0.334
0.000 0.000 0.991
```

Polymorph energy (0 for the lowest one), eV/atom: 0.185
Uncorrected formation energy, eV/atom: 0.02
Magnetic moment, μB per formula unit: 0.000
E_tot, eV/f.u.: -21.9

Record 7
## BaBeAl (PBE)

Data for a relaxed BaBeAl crystal.

POSCAR file:
```
BaBeAl
1.0
6.296 0.000 0.015
0.000 4.072 0.000
-3.262 0.000 12.764
Al Ba Be
4 4 4
Direct
0.061 0.500 0.932
0.403 0.500 0.092
0.061 0.000 0.432
0.403 0.000 0.592
0.963 0.000 0.704
0.963 0.500 0.204
0.579 0.500 0.396
0.579 0.000 0.896
0.191 0.500 0.534
0.455 0.000 0.178
0.455 0.500 0.678
0.191 0.000 0.034
```

Energy relative to the elements, kJ/mol of formula units: 26
Polymorph energy (0 for the lowest one), eV/atom: 0.150
Magnetic moment, μB per formula unit: 0.000
E_tot, eV/f.u.: -9.1

Record 8
## KCaY2 (PBE)

Data for a relaxed KCaY2 crystal.

POSCAR file:
```
KCaY2
1.0
-6.543 -3.233 0.878
-1.974 -2.126 6.754
1.772 5.359 -4.709
Y K Ca
2 1 1
Direct
0.761 0.261 0.500
0.984 0.984 0.000
0.247 0.747 0.500
0.508 0.508 0.000
```

Energy relative to the elements, kJ/mol of formula units: 155
Polymorph energy (0 for the lowest one), eV/atom: 0.218
Magnetic moment, μB per formula unit: 0.001
E_tot, eV/f.u.: -14.4

Record 9
## SrHfS2N (PBE)

Data for a relaxed SrHfS2N crystal.

POSCAR file:
```
SrHfS2N
1.0
5.051 0.000 0.000
0.000 5.051 0.000
0.000 0.000 4.168
S N Sr Hf
2 1 1 1
Direct
0.500 0.000 0.000
0.000 0.500 0.000
0.000 0.000 0.500
0.500 0.500 0.500
0.000 0.000 0.000
```

Polymorph energy (0 for the lowest one), eV/atom: 0.000
Uncorrected formation energy, eV/atom: -1.27
Magnetic moment, μB per formula unit: 0.993
E_tot, eV/f.u.: -34.6

Record 10
## Ba2AlSn2F11 (PBE)

Data for a relaxed Ba2AlSn2F11 crystal.

POSCAR file:
```
Ba2AlSn2F11
1.0
-5.134 5.710 1.508
0.426 -6.226 4.722
10.961 7.503 8.904
F Al Ba Sn
33 3 6 6
Direct
0.591 0.715 0.812
0.123 0.409 0.145
0.144 0.775 0.632
0.387 0.867 0.179
0.309 0.283 0.903
0.827 0.798 0.094
0.616 0.599 0.368
0.972 0.173 0.428
0.202 0.028 0.761
0.285 0.877 0.478
0.854 0.998 0.265
0.144 0.146 0.599
0.133 0.520 0.846
0.846 0.801 0.480
0.480 0.613 0.513
0.974 0.691 0.236
0.500 0.208 0.246
0.631 0.856 0.965
0.450 0.278 0.462
0.529 0.366 0.102
0.199 0.045 0.147
0.828 0.550 0.795
0.225 0.369 0.299
0.984 0.384 0.701
0.634 0.164 0.769
0.708 0.500 0.579
0.792 0.292 0.913
0.836 0.471 0.436
0.002 0.856 0.932
0.401 0.016 0.035
0.722 0.172 0.129
0.717 0.026 0.570
0.955 0.154 0.814
0.472 0.126 0.138
0.653 0.528 0.471
0.874 0.347 0.804
0.375 0.920 0.878
0.176 0.020 0.346
0.845 0.824 0.679
0.080 0.455 0.544
0.545 0.625 0.211
0.980 0.155 0.013
0.272 0.336 0.776
0.376 0.067 0.594
0.691 0.624 0.927
0.664 0.937 0.442
0.933 0.309 0.261
0.063 0.728 0.109
```

Uncorrected formation energy, eV/atom: -3.19
Magnetic moment, μB per formula unit: 0.000
E_tot, eV/f.u.: -87.3

Record 11
## Sc2Co2Si (PBE)

Data for a relaxed Sc2Co2Si crystal.

POSCAR file:
```
Sc2Co2Si
1.0
2.163 3.822 -0.002
-2.163 3.822 -0.002
0.000 1.437 9.383
Sc Co Si
4 4 2
Direct
0.887 0.887 0.203
0.184 0.184 0.401
0.816 0.816 0.599
0.113 0.113 0.797
0.566 0.566 0.124
0.434 0.434 0.876
0.519 0.519 0.381
0.481 0.481 0.619
0.761 0.761 0.917
0.239 0.239 0.083
```

Polymorph energy (0 for the lowest one), eV/atom: 0.250
Uncorrected formation energy, eV/atom: -0.37
Magnetic moment, μB per formula unit: 1.212
E_tot, eV/f.u.: -34.1

Record 12
## TeMoAsN2 (PBE)

Data for a relaxed TeMoAsN2 crystal.

POSCAR file:
```
TeMoAsN2
1.0
-1.809 0.546 3.483
-1.200 -3.776 -0.031
4.827 -1.557 2.751
N Mo Te As
2 1 1 1
Direct
0.000 0.500 0.000
0.500 0.000 0.000
0.000 0.000 0.000
0.000 0.000 0.500
0.500 0.500 0.500
```

Polymorph energy (0 for the lowest one), eV/atom: 0.000
Uncorrected formation energy, eV/atom: 0.68
Magnetic moment, μB per formula unit: 0.881
E_tot, eV/f.u.: -31.9